(1)
Below is crystalline PmErCuNi at its relaxed geometry, with properties calculated at the PBE-GGA level.

a b c (Å): 4.8853 4.8853 4.8853
angles (deg): 60.00 60.00 60.00
Atoms (fractional coordinates):
Cu  0.2500  0.2500  0.2500
Pm  0.5000  0.5000  0.5000
Er  0.0000  0.0000  0.0000
Ni  0.7500  0.7500  0.7500

Energy of formation = -0.282 eV per atom
E above lowest polymorph = 37 meV/atom
Total magnetization = 0.00 μB/f.u.

=====

(2)
Below is crystalline PmErCuNi at its relaxed geometry, with properties calculated at the PBE-GGA level.

a b c (Å): 3.7478 4.4227 5.4759
angles (deg): 90.00 110.01 90.00
Atoms (fractional coordinates):
Pm  0.1414  0.0000  0.2828
Ni  0.4268  0.0000  0.8537
Er  0.8626  0.5000  0.7253
Cu  0.5692  0.5000  0.1383

Energy of formation = -0.319 eV per atom
E above lowest polymorph = 0 meV/atom
Total magnetization = 0.00 μB/f.u.

=====

(3)
Below is crystalline PrErCuNi at its relaxed geometry, with properties calculated at the PBE-GGA level.

a b c (Å): 3.7939 4.4329 5.5286
angles (deg): 90.00 110.07 90.00
Atoms (fractional coordinates):
Er  0.8637  0.5000  0.7273
Pr  0.1425  0.0000  0.2850
Cu  0.5666  0.5000  0.1331
Ni  0.4273  0.0000  0.8545

Energy of formation = -0.286 eV per atom
E above lowest polymorph = 0 meV/atom
Total magnetization = 0.00 μB/f.u.

=====

(4)
Below is crystalline PrErCuNi at its relaxed geometry, with properties calculated at the PBE-GGA level.

a b c (Å): 4.9257 4.9257 4.9257
angles (deg): 60.00 60.00 60.00
Atoms (fractional coordinates):
Ni  0.2500  0.2500  0.2500
Cu  0.7500  0.7500  0.7500
Pr  0.5000  0.5000  0.5000
Er  0.0000  0.0000  0.0000

Energy of formation = -0.247 eV per atom
E above lowest polymorph = 39 meV/atom
Total magnetization = 0.00 μB/f.u.

=====

(5)
Below is crystalline ErCuNiPt at its relaxed geometry, with properties calculated at the PBE-GGA level.

a b c (Å): 4.4647 4.4647 4.4647
angles (deg): 60.00 60.00 60.00
Atoms (fractional coordinates):
Cu  0.0000  0.0000  0.0000
Ni  0.5000  0.5000  0.5000
Er  0.2500  0.2500  0.2500
Pt  0.7500  0.7500  0.7500

Energy of formation = -0.486 eV per atom
Total magnetization = 0.00 μB/f.u.

=====

(6)
Below is crystalline ErPuCuNi at its relaxed geometry, with properties calculated at the PBE-GGA level.

a b c (Å): 4.8148 4.8148 4.8148
angles (deg): 60.00 60.00 60.00
Atoms (fractional coordinates):
Er  0.0000  0.0000  0.0000
Pu  0.5000  0.5000  0.5000
Cu  0.2500  0.2500  0.2500
Ni  0.7500  0.7500  0.7500

Energy of formation = -0.109 eV per atom
Total magnetization = 5.39 μB/f.u.

=====

> Look up the total magnetization of the fifth one.

0.00 μB/f.u.

=====

> Which formula does entry 5 have?

ErCuNiPt